1.
First-principles (PBE) data for a relaxed TbPd6Au12 crystal, as listed in Alexandria via LeMat-Bulk.

Cell lengths 11.3511, 11.3511, 9.3557 Å; angles 90.00, 90.00, 120.00 degrees
Last column: nearest neighbours and their distance in Å.
Space group R-3m (No. 166, hexagonal axes)
Asymmetric unit:
Tb (0.0000, 0.0000, 0.0000) [3 per cell]  6 Pd 2.88, 6 Au 2.99
Pd (0.0848, 0.1697, 0.7493) [18 per cell]  7 Au 2.85-2.94, 1 Tb 2.88, 2 Pd 2.89
Au (0.0000, 0.2633, 0.0000) [18 per cell]  4 Pd 2.85-2.93, 6 Au 2.87-3.00, 1 Tb 2.99
Au (0.0729, 0.5365, 0.1195) [18 per cell]  5 Au 2.66-2.87, 3 Pd 2.91-2.94

Computed properties:
Calculated volume (A^3/atom): 18.3
Calculated formation energy (eV per atom): -0.114

2.
First-principles (PBE) data for a relaxed TbPd2Au8 crystal, as listed in Alexandria via LeMat-Bulk.

Cell lengths 8.5952, 11.5801, 4.2612 Å; angles 90.00, 90.00, 90.00 degrees
Last column: nearest neighbours and their distance in Å.
Space group Cmmm (No. 65)
Asymmetric unit:
Tb (0.0000, 0.0000, 0.0000) [2 per cell]  12 Au 2.86-3.04
Pd (0.0000, 0.3838, 0.5000) [4 per cell]  8 Au 2.65-2.89, 1 Pd 2.69
Au (0.0000, 0.2473, 0.0000) [4 per cell]  2 Pd 2.65, 1 Tb 2.86, 4 Au 2.91
Au (0.1651, 0.5000, 0.0000) [4 per cell]  5 Au 2.84-2.99, 1 Tb 2.88, 4 Pd 2.89
Au (0.1744, 0.1357, 0.5000) [8 per cell]  1 Pd 2.81, 7 Au 2.91-3.14, 2 Tb 3.04

Computed properties:
Calculated volume (A^3/atom): 19.3
Calculated formation energy (eV per atom): -0.237
Polymorph energy (0 for the lowest one) (meV/atom): 56

3.
First-principles (PBE) data for a relaxed Tb2Pd9Au crystal, as listed in Alexandria via LeMat-Bulk.

Cell lengths 4.0799, 4.0799, 12.3486 Å; angles 90.00, 90.00, 90.00 degrees
Last column: nearest neighbours and their distance in Å.
Space group P4/mmm (No. 123)
Asymmetric unit:
Tb (0.0000, 0.0000, 0.1710) [2 per cell]  12 Pd 2.89-2.94
Pd (0.0000, 0.5000, 0.0000) [2 per cell]  8 Pd 2.88-2.91, 4 Tb 2.94
Pd (0.0000, 0.5000, 0.3387) [4 per cell]  8 Pd 2.85-2.93, 2 Au 2.85, 2 Tb 2.91
Pd (0.5000, 0.5000, 0.1684) [2 per cell]  4 Tb 2.89, 8 Pd 2.91-2.93
Pd (0.5000, 0.5000, 0.5000) [1 per cell]  8 Pd 2.85, 4 Au 2.88
Au (0.0000, 0.0000, 0.5000) [1 per cell]  12 Pd 2.85-2.88

Computed properties:
Calculated volume (A^3/atom): 17.1
Calculated formation energy (eV per atom): -0.581

4.
First-principles (PBE) data for a relaxed TbPd3Au crystal, as listed in Alexandria via LeMat-Bulk.

Cell lengths 4.5019, 6.0082, 7.0299 Å; angles 90.00, 90.00, 90.00 degrees
Last column: nearest neighbours and their distance in Å.
Space group Pmmn (No. 59, origin choice 2)
Asymmetric unit:
Tb (0.2500, 0.2500, 0.2052) [2 per cell]  8 Pd 2.83-3.15
Pd (0.2500, 0.0315, 0.7541) [4 per cell]  4 Pd 2.63-2.89, 1 Au 2.73, 2 Tb 2.83
Pd (0.2500, 0.7500, 0.0682) [2 per cell]  1 Au 2.67, 6 Pd 2.78-2.89, 2 Tb 2.96
Au (0.2500, 0.7500, 0.4484) [2 per cell]  7 Pd 2.67-2.97

Computed properties:
Calculated volume (A^3/atom): 19.0
Calculated formation energy (eV per atom): -0.561
Polymorph energy (0 for the lowest one) (meV/atom): 0

5.
First-principles (PBE) data for a relaxed TbPd2Au3 crystal, as listed in Alexandria via LeMat-Bulk.

Cell lengths 5.8752, 8.5746, 9.2614 Å; angles 90.00, 108.26, 90.00 degrees
Last column: nearest neighbours and their distance in Å.
Space group C2/c (No. 15)
Asymmetric unit:
Tb (0.0000, 0.1259, 0.2500) [4 per cell]  6 Au 2.94-3.04, 6 Pd 2.94-3.02
Pd (0.1708, 0.1253, 0.5938) [8 per cell]  7 Au 2.93-2.98, 3 Tb 2.94-3.02, 2 Pd 3.08
Au (0.0000, 0.3763, 0.7500) [4 per cell]  6 Au 2.83-3.05, 2 Tb 2.94, 4 Pd 2.94
Au (0.1616, 0.3756, 0.0713) [8 per cell]  5 Au 2.83-3.05, 5 Pd 2.93-2.98, 2 Tb 3.04

Computed properties:
Calculated volume (A^3/atom): 18.5
Calculated formation energy (eV per atom): -0.514

6.
First-principles (PBE) data for a relaxed Tb2Pd3Au crystal, as listed in Alexandria via LeMat-Bulk.

Cell lengths 10.0062, 10.0062, 10.7481 Å; angles 90.00, 90.00, 90.00 degrees
Last column: nearest neighbours and their distance in Å.
Space group I4_1/amd (No. 141, origin choice 2)
Asymmetric unit:
Tb (0.0000, 0.0536, 0.2224) [16 per cell]  7 Pd 2.86-3.19, 2 Au 3.03-3.06
Pd (0.0000, 0.0000, 0.5000) [8 per cell]  4 Pd 2.73, 2 Tb 3.03
Pd (0.2371, 0.0129, 0.3750) [16 per cell]  4 Pd 2.70-2.73, 4 Tb 2.86-2.91
Au (0.0000, 0.2500, 0.0074) [8 per cell]  1 Au 2.85, 4 Tb 3.03-3.06

Computed properties:
Calculated volume (A^3/atom): 22.4
Calculated formation energy (eV per atom): -0.652

7.
First-principles (PBE) data for a relaxed TbPd2Au4 crystal, as listed in Alexandria via LeMat-Bulk.

Cell lengths 8.0980, 8.0980, 8.5620 Å; angles 90.00, 90.00, 90.00 degrees
Last column: nearest neighbours and their distance in Å.
Space group I-42d (No. 122)
Asymmetric unit:
Tb (0.0000, 0.0000, 0.0000) [4 per cell]  8 Au 2.99-3.15
Pd (0.1782, 0.7500, 0.6250) [8 per cell]  8 Au 2.73-3.01
Au (0.0828, 0.6498, 0.9192) [16 per cell]  4 Pd 2.73-3.01, 2 Au 2.77-2.81, 1 Tb 2.99

Computed properties:
Calculated volume (A^3/atom): 20.1
Calculated formation energy (eV per atom): -0.308
Polymorph energy (0 for the lowest one) (meV/atom): 158

8.
First-principles (PBE) data for a relaxed Tb2Pd3Au3 crystal, as listed in Alexandria via LeMat-Bulk.

Cell lengths 7.4210, 7.4210, 9.8569 Å; angles 90.00, 90.00, 120.00 degrees
Last column: nearest neighbours and their distance in Å.
Space group R32 (No. 155, hexagonal axes)
Asymmetric unit:
Tb (0.0000, 0.0000, 0.2452) [6 per cell]  6 Pd 2.99-3.03, 6 Au 2.99-3.07
Pd (0.0000, 0.2366, 0.0000) [9 per cell]  2 Au 2.71, 4 Tb 2.99-3.03
Au (0.0000, 0.7612, 0.5000) [9 per cell]  2 Pd 2.71, 2 Tb 2.99

Computed properties:
Calculated volume (A^3/atom): 19.6
Calculated formation energy (eV per atom): -0.728

9.
First-principles (PBE) data for a relaxed Tb2Pd12Au5 crystal, as listed in Alexandria via LeMat-Bulk.

Cell lengths 12.3818, 8.4891, 6.5579 Å; angles 90.00, 97.44, 90.00 degrees
Last column: nearest neighbours and their distance in Å.
Space group C2/m (No. 12)
Asymmetric unit:
Tb (0.0000, 0.2259, 0.0000) [4 per cell]  4 Pd 2.77-2.98, 2 Au 2.96
Pd (0.0522, 0.5000, 0.7111) [4 per cell]  2 Au 2.76-2.78, 7 Pd 2.78-2.90
Pd (0.1044, 0.2759, 0.4301) [8 per cell]  4 Au 2.74-2.87, 5 Pd 2.78-2.87, 1 Tb 2.98
Pd (0.1377, 0.0000, 0.8719) [4 per cell]  3 Au 2.72-2.79, 2 Tb 2.77, 4 Pd 2.85-3.00
Pd (0.2380, 0.3161, 0.8178) [8 per cell]  5 Pd 2.62-2.87, 2 Au 2.72-2.89
Au (0.0000, 0.0000, 0.5000) [2 per cell]  6 Pd 2.74-2.79, 2 Au 2.79
Au (0.1423, 0.5000, 0.1186) [4 per cell]  7 Pd 2.72-2.89, 1 Au 2.77, 2 Tb 2.96
Au (0.2261, 0.0000, 0.5059) [4 per cell]  7 Pd 2.72-2.82, 2 Au 2.77-2.79

Computed properties:
Calculated volume (A^3/atom): 18.0
Calculated formation energy (eV per atom): -0.276

10.
First-principles (PBE) data for a relaxed TbPd2Au3 crystal, as listed in Alexandria via LeMat-Bulk.

Cell lengths 7.1184, 8.9727, 7.4473 Å; angles 90.00, 104.36, 90.00 degrees
Last column: nearest neighbours and their distance in Å.
Space group C2/c (No. 15)
Asymmetric unit:
Tb (0.0000, 0.0753, 0.2500) [4 per cell]  5 Au 2.87-2.95, 6 Pd 2.96-3.21
Pd (0.1237, 0.2165, 0.6199) [8 per cell]  6 Au 2.80-3.12, 2 Pd 2.89-2.92, 2 Tb 2.96-3.00
Au (0.0000, 0.3952, 0.2500) [4 per cell]  4 Au 2.71-2.84, 2 Pd 2.80, 1 Tb 2.87
Au (0.2179, 0.4006, 0.9788) [8 per cell]  3 Au 2.71-2.84, 2 Pd 2.88-3.01, 2 Tb 2.93-2.95

Computed properties:
Calculated volume (A^3/atom): 19.2
Calculated formation energy (eV per atom): -0.461

11.
First-principles (PBE) data for a relaxed Tb2Pd5Au2 crystal, as listed in Alexandria via LeMat-Bulk.

Cell lengths 14.4959, 6.6630, 7.4984 Å; angles 90.00, 90.00, 90.00 degrees
Last column: nearest neighbours and their distance in Å.
Space group Ima2 (No. 46)
Asymmetric unit:
Tb (0.1170, 0.1446, 0.0000) [8 per cell]  4 Pd 2.83-3.03, 1 Au 3.11
Pd (0.0417, 0.6685, 0.1816) [8 per cell]  3 Pd 2.55-2.61, 2 Au 2.63-2.76
Pd (0.1604, 0.7377, 0.9290) [8 per cell]  4 Pd 2.60-2.76, 1 Tb 2.83, 2 Au 2.85-2.87
Pd (0.2500, 0.0931, 0.2921) [4 per cell]  2 Au 2.73-2.97, 2 Pd 2.76, 4 Tb 2.94-3.03
Au (0.0000, 0.0000, 0.3546) [4 per cell]  6 Pd 2.63-2.87
Au (0.2500, 0.0162, 0.6817) [4 per cell]  6 Pd 2.73-2.97

Computed properties:
Calculated volume (A^3/atom): 20.1
Calculated formation energy (eV per atom): -0.486

12.
First-principles (PBE) data for a relaxed Tb4PdAu3 crystal, as listed in Alexandria via LeMat-Bulk.

Cell lengths 3.7696, 4.6848, 10.8474 Å; angles 90.00, 90.00, 90.00 degrees
Last column: nearest neighbours and their distance in Å.
Space group Pmm2 (No. 25)
Asymmetric unit:
Tb (0.0000, 0.0000, 0.0000) [1 per cell]  5 Au 3.02-3.05, 2 Pd 3.04
Tb (0.0000, 0.5000, 0.2695) [1 per cell]  3 Au 2.98-3.05, 4 Pd 3.05
Tb (0.5000, 0.0000, 0.4884) [1 per cell]  1 Pd 2.92, 6 Au 3.07-3.16
Tb (0.5000, 0.5000, 0.7724) [1 per cell]  7 Au 2.99-3.11
Pd (0.5000, 0.0000, 0.2197) [1 per cell]  7 Tb 2.92-3.05, 2 Au 2.99
Au (0.0000, 0.0000, 0.7218) [1 per cell]  7 Tb 3.02-3.16, 2 Au 3.03
Au (0.0000, 0.5000, 0.5444) [1 per cell]  7 Tb 2.98-3.11, 2 Au 3.03
Au (0.5000, 0.5000, 0.0482) [1 per cell]  7 Tb 2.99-3.05, 2 Pd 2.99

Computed properties:
Calculated volume (A^3/atom): 23.9
Calculated formation energy (eV per atom): -0.889

What did the first record say?
First-principles (PBE) data for a relaxed TbPd6Au12 crystal, as listed in Alexandria via LeMat-Bulk.

Cell lengths 11.3511, 11.3511, 9.3557 Å; angles 90.00, 90.00, 120.00 degrees
Last column: nearest neighbours and their distance in Å.
Space group R-3m (No. 166, hexagonal axes)
Asymmetric unit:
Tb (0.0000, 0.0000, 0.0000) [3 per cell]  6 Pd 2.88, 6 Au 2.99
Pd (0.0848, 0.1697, 0.7493) [18 per cell]  7 Au 2.85-2.94, 1 Tb 2.88, 2 Pd 2.89
Au (0.0000, 0.2633, 0.0000) [18 per cell]  4 Pd 2.85-2.93, 6 Au 2.87-3.00, 1 Tb 2.99
Au (0.0729, 0.5365, 0.1195) [18 per cell]  5 Au 2.66-2.87, 3 Pd 2.91-2.94

Computed properties:
Calculated volume (A^3/atom): 18.3
Calculated formation energy (eV per atom): -0.114

Copy entry 1 word for word.
First-principles (PBE) data for a relaxed TbPd6Au12 crystal, as listed in Alexandria via LeMat-Bulk.

Cell lengths 11.3511, 11.3511, 9.3557 Å; angles 90.00, 90.00, 120.00 degrees
Last column: nearest neighbours and their distance in Å.
Space group R-3m (No. 166, hexagonal axes)
Asymmetric unit:
Tb (0.0000, 0.0000, 0.0000) [3 per cell]  6 Pd 2.88, 6 Au 2.99
Pd (0.0848, 0.1697, 0.7493) [18 per cell]  7 Au 2.85-2.94, 1 Tb 2.88, 2 Pd 2.89
Au (0.0000, 0.2633, 0.0000) [18 per cell]  4 Pd 2.85-2.93, 6 Au 2.87-3.00, 1 Tb 2.99
Au (0.0729, 0.5365, 0.1195) [18 per cell]  5 Au 2.66-2.87, 3 Pd 2.91-2.94

Computed properties:
Calculated volume (A^3/atom): 18.3
Calculated formation energy (eV per atom): -0.114